(1)
The following is a PBE calculation of a relaxed structure of MgZrCr2I, from the Alexandria database.

Values from the calculation:
The total magnetic moment is 6.81 μB per formula unit. As for the uncorrected formation energy: 5.76 eV/f.u. The value obtained for the total energy is -5.036 eV/atom.

Unit cell a=5.0980 b=5.0980 c=5.5135 alpha=90.00 beta=90.00 gamma=90.00
Positions (direct):
Mg1 0.0000 0.0000 0.0000
Zr1 0.5000 0.5000 0.5000
Cr1 0.0000 0.5000 0.5000
Cr2 0.5000 0.0000 0.5000
I1 0.5000 0.5000 0.0000

---

(2)
The following is a PBE calculation of a relaxed structure of Mn2CrI, from the Alexandria database.

Values from the calculation:
The total magnetic moment is 0.00 μB per formula unit. As for the uncorrected formation energy: 4.99 eV/f.u. The value obtained for the total energy is -6.130 eV/atom.

Unit cell a=6.8636 b=6.8636 c=6.8636 alpha=136.47 beta=136.47 gamma=63.25
Positions (direct):
Mn1 0.0533 0.6250 0.9283
Mn2 0.3750 0.3033 0.4283
Mn3 0.6967 0.1250 0.0717
Mn4 0.8750 0.9467 0.5717
Cr1 0.0000 0.0000 0.0000
Cr2 0.7500 0.2500 0.5000
I1 0.2500 0.7500 0.5000
I2 0.5000 0.5000 0.0000

---

(3)
The following is a PBE calculation of a relaxed structure of Mn2CrI6, from the Alexandria database.

Values from the calculation:
The total magnetic moment is 14.01 μB per formula unit. As for the uncorrected formation energy: -3.40 eV/f.u. The value obtained for the total energy is -4.518 eV/atom.

Unit cell a=4.1867 b=4.1867 c=22.5756 alpha=91.56 beta=91.56 gamma=58.30
Positions (direct):
Mn1 0.1649 0.1649 0.3330
Mn2 0.8351 0.8351 0.6670
Cr1 0.5000 0.5000 0.0000
I1 0.1397 0.1397 0.0722
I2 0.1614 0.1614 0.5936
I3 0.4908 0.4908 0.2597
I4 0.5092 0.5092 0.7403
I5 0.8386 0.8386 0.4064
I6 0.8603 0.8603 0.9278

---

(4)
The following is a PBE calculation of a relaxed structure of MnCrI4, from the Alexandria database.

Values from the calculation:
The total magnetic moment is 9.00 μB per formula unit. As for the uncorrected formation energy: -2.08 eV/f.u. The value obtained for the total energy is -4.513 eV/atom.

Unit cell a=8.4999 b=8.4999 c=7.1288 alpha=113.75 beta=113.75 gamma=28.24
Positions (direct):
Mn1 0.0000 0.0000 0.0000
Cr1 0.5000 0.5000 0.5000
I1 0.1085 0.1085 0.4379
I2 0.3906 0.3906 0.0665
I3 0.6093 0.6093 0.9335
I4 0.8915 0.8915 0.5621

---

(5)
The following is a PBE calculation of a relaxed structure of Mn2CrI6, from the Alexandria database.

Values from the calculation:
The total magnetic moment is 14.02 μB per formula unit. As for the uncorrected formation energy: -3.35 eV/f.u. The value obtained for the total energy is -4.512 eV/atom.

Unit cell a=9.7935 b=9.7935 c=8.8282 alpha=108.28 beta=108.28 gamma=24.51
Positions (direct):
Mn1 0.1659 0.1659 0.3349
Mn2 0.8341 0.8341 0.6651
Cr1 0.5000 0.5000 0.0000
I1 0.0067 0.0067 0.2327
I2 0.3260 0.3260 0.4287
I3 0.3427 0.3427 0.9025
I4 0.6573 0.6573 0.0975
I5 0.6740 0.6740 0.5713
I6 0.9933 0.9933 0.7673

---

(6)
The following is a PBE calculation of a relaxed structure of Mn2CrI, from the Alexandria database.

Values from the calculation:
The total magnetic moment is 2.62 μB per formula unit. As for the uncorrected formation energy: 3.70 eV/f.u. The value obtained for the total energy is -6.453 eV/atom.

Unit cell a=4.2701 b=4.2701 c=4.2701 alpha=60.00 beta=60.00 gamma=60.00
Positions (direct):
Mn1 0.2500 0.2500 0.2500
Mn2 0.7500 0.7500 0.7500
Cr1 0.0000 0.0000 0.0000
I1 0.5000 0.5000 0.5000